This record from Alexandria describes a relaxed structure of KUAgSe4. The functional is PBE-GGA.

```
14
Lattice="7.378 0.000 0.000 0.000 5.724 0.000 -3.561 0.000 9.148" Properties=species:S:1:pos:R:3 pbc="T T T"
K 0.030 1.431 4.207
K 3.787 4.293 4.941
U 1.860 4.293 0.509
U 1.957 1.431 8.639
Ag -2.403 1.431 7.266
Ag 6.220 4.293 1.883
Se 0.736 1.431 0.752
Se 1.038 4.293 3.119
Se -0.247 2.949 7.392
Se -0.247 5.637 7.392
Se 4.064 0.087 1.756
Se 4.064 2.775 1.756
Se 2.779 1.431 6.029
Se 3.081 4.293 8.396
```

Summary:
- energy (eV/atom) = -4.99
- DOS at the Fermi energy (states/eV/cell) = 11.04
- SG = P2_1/m

***

This record from Alexandria describes a relaxed structure of Y2TlHg2. The functional is PBE-GGA.

```
10
Lattice="8.185 0.000 0.000 0.000 8.185 0.000 0.000 0.000 3.955" Properties=species:S:1:pos:R:3 pbc="T T T"
Y 1.394 2.698 0.000
Y 2.698 6.790 0.000
Y 5.487 1.394 0.000
Y 6.790 5.487 0.000
Tl 0.000 0.000 1.978
Tl 4.092 4.092 1.978
Hg 1.049 5.141 1.978
Hg 3.044 1.049 1.978
Hg 5.141 7.136 1.978
Hg 7.136 3.044 1.978
```

Summary:
- formation enthalpy at 0 K (eV per atom) = -0.397
- DOS at the Fermi energy (states/eV/cell) = 7.02
- SG = P4/mbm

***

This record from Alexandria describes a relaxed structure of SrEr2Ag3. The functional is PBE-GGA.

```
6
Lattice="3.674 0.000 0.000 0.000 3.674 0.000 0.000 0.000 11.288" Properties=species:S:1:pos:R:3 pbc="T T T"
Sr 0.000 0.000 0.000
Er 0.000 0.000 3.839
Er 0.000 0.000 7.449
Ag 1.837 1.837 2.237
Ag 1.837 1.837 5.644
Ag 1.837 1.837 9.051
```

Summary:
- formation enthalpy at 0 K (eV per atom) = -0.299
- DOS at the Fermi energy (states/eV/cell) = 3.87
- SG = P4/mmm

***

This record from Alexandria describes a relaxed structure of RbBa4Rh. The functional is PBE-GGA.

```
6
Lattice="-5.122 5.122 3.532 5.122 -5.122 3.532 5.122 5.122 -3.532" Properties=species:S:1:pos:R:3 pbc="T T T"
Rb 0.000 0.000 0.000
Ba 6.206 2.005 -0.041
Ba 2.005 4.037 0.041
Ba 3.116 1.085 3.573
Ba -1.085 3.116 3.491
Rh 0.000 5.122 1.766
```

Summary:
- formation enthalpy at 0 K (eV per atom) = 0.068
- DOS at the Fermi energy (states/eV/cell) = 5.59
- SG = I-4

***

This record from Alexandria describes a relaxed structure of TaHIO2. The functional is PBE-GGA.

```
5
Lattice="3.875 0.000 0.000 0.000 3.875 0.000 0.000 0.000 5.923" Properties=species:S:1:pos:R:3 pbc="T T T"
Ta 0.000 0.000 0.000
H 1.938 1.938 2.961
I 0.000 0.000 2.961
O 0.000 1.938 0.000
O 1.938 0.000 0.000
```

Summary:
- energy (eV/atom) = -6.42
- DOS at the Fermi energy (states/eV/cell) = 1.08
- SG = P4/mmm

***

This record from Alexandria describes a relaxed structure of MgPb4Br2. The functional is PBE-GGA.

```
7
Lattice="-2.812 2.812 7.971 2.812 -2.812 7.971 2.812 2.812 -7.971" Properties=species:S:1:pos:R:3 pbc="T T T"
Mg 0.000 0.000 0.000
Pb 2.812 0.000 0.000
Pb 0.000 0.000 3.322
Pb 0.000 2.812 0.000
Pb 0.000 0.000 12.620
Br 0.000 0.000 6.302
Br 0.000 0.000 9.640
```

Summary:
- energy (eV/atom) = -2.69
- DOS at the Fermi energy (states/eV/cell) = 4.46
- SG = I4/mmm